No. 1
Sc3RePd: relaxed, PBE.

Calculated values
* final energy: -7.053 eV/atom
* formation energy: 0.274 eV/atom
* volume: 24.7 Å³/atom
* offset from the most stable computed form: 0.0 meV per atom

a = 4.977 Å, b = 4.977 Å, c = 4.977 Å
α = 90.00°, β = 90.00°, γ = 90.00°
Fractional positions:
Sc: 0.000 0.500 0.000
Sc: 0.000 0.000 0.500
Sc: 0.500 0.000 0.000
Re: 0.000 0.000 0.000
Pd: 0.500 0.500 0.500

---

No. 2
La2CuNi3: relaxed, PBE.

Calculated values
* final energy: -5.512 eV/atom
* formation energy: -0.296 eV/atom
* volume: 19.7 Å³/atom

a = 5.737 Å, b = 5.737 Å, c = 8.223 Å
α = 109.44°, β = 109.44°, γ = 92.64°
Fractional positions:
La: 0.250 0.750 0.500
La: 0.751 0.751 0.000
La: 0.750 0.250 0.500
La: 0.249 0.249 0.000
Cu: 0.666 0.666 0.332
Cu: 0.334 0.334 0.668
Ni: 0.328 0.836 0.165
Ni: 0.164 0.672 0.835
Ni: 0.672 0.164 0.835
Ni: 0.836 0.328 0.165
Ni: 0.165 0.165 0.330
Ni: 0.835 0.835 0.670

---

No. 3
Ce2Cd2In3: relaxed, PBE.

Calculated values
* final energy: -3.387 eV/atom
* formation energy: -0.257 eV/atom
* volume: 27.2 Å³/atom
* offset from the most stable computed form: 0.0 meV per atom

a = 4.741 Å, b = 7.729 Å, c = 10.662 Å
α = 90.00°, β = 102.84°, γ = 90.00°
Fractional positions:
Ce: 0.157 0.250 0.314
Ce: 0.843 0.750 0.686
Ce: 0.953 0.250 0.906
Ce: 0.047 0.750 0.094
Cd: 0.687 0.943 0.375
Cd: 0.313 0.057 0.625
Cd: 0.313 0.443 0.625
Cd: 0.687 0.557 0.375
In: 0.224 0.750 0.448
In: 0.776 0.250 0.552
In: 0.561 0.432 0.123
In: 0.439 0.568 0.877
In: 0.439 0.932 0.877
In: 0.561 0.068 0.123

---

No. 4
BaMg2AlTl4: relaxed, PBE.

Calculated values
* final energy: -2.385 eV/atom
* formation energy: -0.096 eV/atom
* volume: 28.7 Å³/atom

a = 5.212 Å, b = 5.212 Å, c = 10.226 Å
α = 75.24°, β = 75.24°, γ = 60.00°
Fractional positions:
Ba: 0.000 0.000 0.000
Mg: 0.762 0.762 0.713
Mg: 0.238 0.238 0.287
Al: 0.500 0.500 0.500
Tl: 0.400 0.400 0.799
Tl: 0.870 0.870 0.391
Tl: 0.130 0.130 0.609
Tl: 0.600 0.600 0.201